VASP calculation (PBE) on crystalline Tb3Pr4Sc at its relaxed geometry.

```
Tb3Pr4Sc
1.0
3.6723 0.0000 -0.4238
-0.1060 5.4298 -0.9191
-0.2869 -0.4871 13.6609
Pr Sc Tb
4 1 3
direct
0.7176 0.7193 0.4386
0.2824 0.2807 0.5614
0.4039 0.4048 0.8096
0.5961 0.5952 0.1904
0.0000 0.5000 0.0000
0.5000 0.0000 0.0000
0.8610 0.8611 0.7222
0.1390 0.1389 0.2778
```

Values from the calculation:
Energy above the lowest structure with this stoichiometry in meV per atom: 106
Formation enthalpy at 0 K in eV per atom: 0.151



VASP calculation (PBE) on crystalline Tb3Pr3Sc2 at its relaxed geometry.

```
Tb3Pr3Sc2
1.0
-0.8022 4.4082 3.2328
-5.3012 0.5589 -2.0775
0.3705 -7.2950 5.3178
Pr Tb Sc
3 3 2
direct
0.6409 0.0935 0.2818
0.5000 0.5000 0.0000
0.3591 0.9065 0.7182
0.1393 0.6785 0.2785
0.0000 0.0000 0.0000
0.8607 0.3215 0.7215
0.2496 0.3112 0.4992
0.7504 0.6888 0.5008
```

Values from the calculation:
Energy above the lowest structure with this stoichiometry in meV per atom: 36
Formation enthalpy at 0 K in eV per atom: 0.079



VASP calculation (PBE) on crystalline Tb4Pr15Sc at its relaxed geometry.

```
Tb4Pr15Sc
1.0
5.1862 0.0000 0.0000
0.0000 5.1862 0.0000
0.0000 0.0000 25.8284
Tb Pr Sc
4 15 1
direct
0.0000 0.0000 0.1975
0.0000 0.0000 0.3992
0.0000 0.0000 0.8025
0.0000 0.0000 0.6008
0.5000 0.0000 0.9032
0.5000 0.5000 0.1976
0.5000 0.0000 0.0968
0.5000 0.5000 0.8024
0.5000 0.0000 0.2984
0.0000 0.5000 0.2984
0.5000 0.0000 0.7016
0.5000 0.0000 0.5000
0.5000 0.5000 0.3993
0.0000 0.5000 0.7016
0.0000 0.5000 0.0968
0.0000 0.5000 0.5000
0.0000 0.5000 0.9032
0.5000 0.5000 0.6007
0.5000 0.5000 0.0000
0.0000 0.0000 0.0000
```

Values from the calculation:
Formation enthalpy at 0 K in eV per atom: 0.016



VASP calculation (PBE) on crystalline Tb2Pr7Sc at its relaxed geometry.

```
Tb2Pr7Sc
1.0
-0.7865 1.8726 5.0221
-8.9082 2.8196 -2.4463
2.3033 -8.6653 3.5916
Pr Sc Tb
7 1 2
direct
0.5000 0.7125 0.9276
0.5000 0.0724 0.2875
0.5000 0.5000 0.5000
0.0000 0.2008 0.7992
0.5000 0.2875 0.0724
0.0000 0.7992 0.2008
0.5000 0.9276 0.7125
0.0000 0.0000 0.0000
0.5000 0.7053 0.2947
0.5000 0.2947 0.7053
```

Values from the calculation:
Formation enthalpy at 0 K in eV per atom: 0.641



One value per record, in order, for N(E_F): 12.7 12.5 27.0 15.5 states/eV per cell.